Entry from the Alexandria database: a geometry-optimized Cr3WO structure (PBE+U).

Computed properties:
Its energy above the lowest structure with this stoichiometry is 1739 meV per atom. The raw total energy comes out at -5.115 eV/atom.

a b c (Å): 5.032 5.032 5.032
angles (deg): 90.00 90.00 90.00
Space group Pm-3m (No. 221)
Symmetry-distinct sites (fractional):
Cr 0.000 0.000 0.500 x3
W 0.000 0.000 0.000 x1
O 0.500 0.500 0.500 x1